1.
Density functional theory data (PBE) for a relaxed structure of PrInAsO.

Unit cell a=4.3313 b=7.4693 c=6.2040 alpha=90.00 beta=90.00 gamma=90.00
Last column: nearest neighbours and their distance in Å.
Space group Pmc2_1 (No. 26)
Unique sites:
Pr  0.0000  0.2023  0.0000 [2 per cell]  2 O 2.36
In  0.5000  0.3881  0.5909 [2 per cell]  2 O 2.28-2.40
As  0.0000  0.1957  0.4886 [2 per cell]  2 In 2.68, 1 Pr 2.97
O  0.5000  0.3235  0.9691 [2 per cell]  2 In 2.28-2.40, 2 Pr 2.36

Summary:
Theoretical density, g/cm3: 5.736
Total DFT energy (no corrections), eV/cell: -44.45
Total magnetization, μB/atom: 0.001

2.
Density functional theory data (PBE) for a relaxed structure of PrInAsO.

Unit cell a=5.1426 b=5.3087 c=6.7223 alpha=90.00 beta=90.00 gamma=90.00
Last column: nearest neighbours and their distance in Å.
Space group Pmc2_1 (No. 26)
Unique sites:
Pr  0.0000  0.2067  0.0000 [2 per cell]  2 O 2.26-2.31
In  0.5000  0.2393  0.3466 [2 per cell]  2 O 2.60, 3 As 2.67-2.77
As  0.5000  0.2666  0.7438 [2 per cell]  3 In 2.67-2.77
O  0.0000  0.1702  0.3424 [2 per cell]  2 Pr 2.26-2.31

Summary:
Theoretical density, g/cm3: 6.273
Total DFT energy (no corrections), eV/cell: -44.84
Total magnetization, μB/atom: 0.001